1.
A plane-wave DFT calculation with PBE was carried out for a geometry-optimized MnPt2Se2 structure.

Unit cell a=6.969 b=6.969 c=3.695 alpha=90.00 beta=90.00 gamma=90.00
Atoms (fractional coordinates):
Mn1 0.000 0.000 0.000
Mn2 0.500 0.500 0.000
Pt1 0.143 0.357 0.500
Pt2 0.357 0.857 0.500
Pt3 0.643 0.143 0.500
Pt4 0.857 0.643 0.500
Se1 0.176 0.676 0.000
Se2 0.324 0.176 0.000
Se3 0.676 0.824 0.000
Se4 0.824 0.324 0.000

Excess energy over the best structure of this formula in the dataset, kJ/mol of atoms: 0.0
Crystal system: tetragonal
Raw formation energy, kcal/mol of atoms: 2.7

2.
A plane-wave DFT calculation with PBE was carried out for a geometry-optimized SiBBr2 structure.

Unit cell a=6.164 b=6.164 c=6.164 alpha=107.36 beta=107.36 gamma=113.79
Atoms (fractional coordinates):
Si1 0.000 0.000 0.000
Si2 0.750 0.250 0.500
B1 0.250 0.750 0.500
B2 0.500 0.500 0.000
Br1 0.135 0.625 0.010
Br2 0.375 0.385 0.510
Br3 0.615 0.125 0.990
Br4 0.875 0.865 0.490

Excess energy over the best structure of this formula in the dataset, kJ/mol of atoms: 14.4
Crystal system: tetragonal
Raw formation energy, kcal/mol of atoms: 26.4

3.
A plane-wave DFT calculation with PBE was carried out for a geometry-optimized Nd3TmBi4 structure.

Unit cell a=7.909 b=7.909 c=4.571 alpha=90.00 beta=90.00 gamma=109.51
Atoms (fractional coordinates):
Nd1 0.000 0.000 0.000
Nd2 0.000 0.500 0.500
Nd3 0.500 0.000 0.500
Tm1 0.500 0.500 0.000
Bi1 0.254 0.746 0.000
Bi2 0.258 0.258 0.500
Bi3 0.742 0.742 0.500
Bi4 0.746 0.254 0.000

Crystal system: orthorhombic
Calculated formation energy, eV per atom: -0.900

4.
A plane-wave DFT calculation with PBE was carried out for a geometry-optimized BeIn2Hg structure.

Unit cell a=5.373 b=5.373 c=5.373 alpha=130.68 beta=130.68 gamma=72.32
Atoms (fractional coordinates):
Be1 0.000 0.000 0.000
In1 0.250 0.750 0.500
In2 0.750 0.250 0.500
Hg1 0.500 0.500 0.000

Excess energy over the best structure of this formula in the dataset, kJ/mol of atoms: 18.4
Crystal system: tetragonal
Calculated formation energy, eV per atom: 0.447

5.
A plane-wave DFT calculation with PBE was carried out for a geometry-optimized Ce5Sb4As structure.

Unit cell a=16.031 b=16.031 c=16.031 alpha=164.03 beta=164.03 gamma=22.65
Atoms (fractional coordinates):
Ce1 0.000 0.000 0.000
Ce2 0.200 0.200 0.000
Ce3 0.405 0.405 0.000
Ce4 0.595 0.595 0.000
Ce5 0.800 0.800 0.000
Sb1 0.100 0.100 0.000
Sb2 0.302 0.302 0.000
Sb3 0.698 0.698 0.000
Sb4 0.900 0.900 0.000
As1 0.500 0.500 0.000

Excess energy over the best structure of this formula in the dataset, kJ/mol of atoms: 0.4
Crystal system: tetragonal
Raw formation energy, kcal/mol of atoms: -25.3

6.
A plane-wave DFT calculation with PBE was carried out for a geometry-optimized MgIn2Cu9 structure.

Unit cell a=8.601 b=8.601 c=8.601 alpha=33.94 beta=33.94 gamma=33.94
Atoms (fractional coordinates):
Mg1 0.000 0.000 0.000
In1 0.139 0.139 0.139
In2 0.861 0.861 0.861
Cu1 0.081 0.584 0.584
Cu2 0.333 0.333 0.333
Cu3 0.416 0.416 0.919
Cu4 0.416 0.919 0.416
Cu5 0.500 0.500 0.500
Cu6 0.584 0.081 0.584
Cu7 0.584 0.584 0.081
Cu8 0.667 0.667 0.667
Cu9 0.919 0.416 0.416

Crystal system: trigonal
Calculated formation energy, eV per atom: -0.016

Total energy across the listed records, respectively: -0.2032, -0.0998, -0.1906, -0.0709, -0.2270, -0.1352 Ha/atom.